No. 1
Material: LaBeBr2
Method: DFT, PBE
State: optimized geometry

Summary:
Its excess energy over the best structure of this formula in the dataset is 248 meV/atom. The total magnetic moment comes out at 0.00 μB/f.u.

Structure (POSCAR):
```
LaBeBr2
1.0
5.047 -1.998 0.000
5.047 1.998 0.000
-0.511 0.000 5.316
La Be Br
1 1 2
direct
0.000 0.000 0.000
0.500 0.500 0.500
0.292 0.292 0.764
0.708 0.708 0.236
```

No. 2
Material: SbRhW2
Method: DFT, PBE
State: optimized geometry

Summary:
The final energy comes out at -9.032 eV per atom. The total magnetic moment comes out at 0.00 μB/f.u.

Structure (POSCAR):
```
SbRhW2
1.0
-1.719 2.281 4.273
1.719 -2.281 4.273
1.719 2.281 -4.273
Sb Rh W
1 1 2
direct
0.000 0.000 0.000
0.231 0.731 0.500
0.499 0.499 0.000
0.741 0.241 0.500
```

No. 3
Material: YNiS2Cl
Method: DFT, PBE
State: optimized geometry

Summary:
Its excess energy over the best structure of this formula in the dataset is 0 meV/atom. The total magnetic moment comes out at 0.00 μB/f.u.

Structure (POSCAR):
```
YNiS2Cl
1.0
4.603 0.000 0.000
0.000 4.603 0.000
0.000 0.000 4.393
Y Ni S Cl
1 1 2 1
direct
0.000 0.000 0.000
0.500 0.500 0.500
0.000 0.500 0.500
0.500 0.000 0.500
0.500 0.500 0.000
```

No. 4
Material: KTbHgCl6
Method: DFT, PBE
State: optimized geometry

Summary:
The final energy comes out at -3.559 eV per atom. The total magnetic moment comes out at 0.00 μB/f.u.

Structure (POSCAR):
```
KTbHgCl6
1.0
7.009 0.000 0.000
-3.504 6.070 0.000
0.000 0.000 13.812
K Tb Hg Cl
2 2 2 12
direct
0.000 0.000 0.000
0.000 0.000 0.500
0.333 0.667 0.250
0.667 0.333 0.750
0.333 0.667 0.750
0.667 0.333 0.250
0.006 0.374 0.138
0.006 0.632 0.362
0.368 0.374 0.362
0.368 0.994 0.138
0.374 0.006 0.638
0.374 0.368 0.862
0.626 0.632 0.138
0.626 0.994 0.362
0.632 0.006 0.862
0.632 0.626 0.638
0.994 0.368 0.638
0.994 0.626 0.862
```

What is the total magnetic moment in the first record? 0.00 μB/f.u.